[1]
Computed, not measured: a relaxed structure of La2Pb2I at the PBE level of DFT.

a b c (Å): 8.797 8.797 4.520
angles (deg): 90.00 90.00 90.00
Fractional coordinates of all 10 atoms:
Pb 0.880 0.380 0.500
Pb 0.620 0.880 0.500
Pb 0.120 0.620 0.500
Pb 0.380 0.120 0.500
La 0.677 0.177 0.000
La 0.823 0.677 0.000
La 0.177 0.323 0.000
La 0.323 0.823 0.000
I 0.500 0.500 0.000
I 0.000 0.000 0.000

Summary:
Space group: No. 127

***

[2]
Computed, not measured: a relaxed structure of LaPbI at the PBE level of DFT.

a b c (Å): 4.999 4.999 11.522
angles (deg): 89.37 89.37 60.09
Fractional coordinates of all 6 atoms:
Pb 0.334 0.334 0.470
Pb 0.666 0.666 0.530
La 0.997 0.997 0.685
La 0.003 0.003 0.315
I 0.328 0.328 0.842
I 0.672 0.672 0.158

Summary:
Energy relative to the lowest polymorph listed for this composition: 78.9 meV per atom
Space group: No. 12

***

[3]
Computed, not measured: a relaxed structure of La3Pb2I2 at the PBE level of DFT.

a b c (Å): 4.576 8.042 8.362
angles (deg): 101.15 89.96 106.45
Fractional coordinates of all 7 atoms:
La 0.000 0.000 0.000
La 0.755 0.509 0.236
La 0.245 0.491 0.764
Pb 0.622 0.244 0.878
Pb 0.378 0.756 0.122
I 0.130 0.259 0.377
I 0.870 0.741 0.623

Summary:
Space group: No. 2

***

[4]
Computed, not measured: a relaxed structure of LaPbI3 at the PBE level of DFT.

a b c (Å): 6.215 6.215 6.215
angles (deg): 90.00 90.00 90.00
Site moments in Bohr magnetons follow the coordinates.
Fractional coordinates of all 5 atoms:
I 0.000 0.500 0.000  0.00
I 0.500 0.000 0.000  0.01
I 0.000 0.000 0.500  0.00
Pb 0.000 0.000 0.000  0.07
La 0.500 0.500 0.500  0.84

Summary:
Energy relative to the lowest polymorph listed for this composition: 458.4 meV per atom
Space group: No. 221

***

[5]
Computed, not measured: a relaxed structure of La2Pb2I at the PBE level of DFT.

a b c (Å): 9.218 9.218 4.106
angles (deg): 90.00 90.00 90.00
Fractional coordinates of all 10 atoms:
Pb 0.387 0.887 0.000
Pb 0.887 0.613 0.000
Pb 0.113 0.387 0.000
Pb 0.613 0.113 0.000
La 0.684 0.816 0.500
La 0.816 0.316 0.500
La 0.316 0.184 0.500
La 0.184 0.684 0.500
I 0.500 0.500 0.000
I 0.000 0.000 0.000

Summary:
Space group: No. 127

***

[6]
Computed, not measured: a relaxed structure of LaPbI2 at the PBE level of DFT.

a b c (Å): 7.913 7.913 8.773
angles (deg): 63.19 63.19 90.00
Fractional coordinates of all 8 atoms:
La 0.500 0.500 0.000
La 0.250 0.750 0.500
Pb 0.750 0.250 0.500
Pb 0.000 0.000 0.000
I 0.375 0.411 0.750
I 0.161 0.625 0.250
I 0.589 0.125 0.250
I 0.875 0.839 0.750

Summary:
Energy relative to the lowest polymorph listed for this composition: 378.2 meV per atom
Space group: No. 122

***

[7]
Computed, not measured: a relaxed structure of La10Pb3I3 at the PBE level of DFT.

a b c (Å): 6.659 9.669 9.669
angles (deg): 120.00 90.00 90.00
Fractional coordinates of all 16 atoms:
La 0.500 0.252 0.252
La 0.745 0.667 0.333
La 0.500 0.748 0.000
La 0.000 0.747 0.747
La 0.000 0.253 0.000
La 0.255 0.333 0.667
La 0.255 0.667 0.333
La 0.000 0.000 0.253
La 0.745 0.333 0.667
La 0.500 0.000 0.748
Pb 0.500 0.387 0.000
Pb 0.500 0.613 0.613
Pb 0.500 0.000 0.387
I 0.000 0.384 0.384
I 0.000 0.616 0.000
I 0.000 0.000 0.616

Summary:
Space group: No. 189

***

[8]
Computed, not measured: a relaxed structure of La4PbI at the PBE level of DFT.

a b c (Å): 5.916 8.150 10.234
angles (deg): 114.60 106.86 89.93
Fractional coordinates of all 12 atoms:
La 0.677 0.037 0.855
La 0.572 0.419 0.643
La 0.178 0.537 0.855
La 0.071 0.919 0.643
La 0.929 0.081 0.357
La 0.323 0.963 0.145
La 0.822 0.463 0.145
La 0.428 0.581 0.357
Pb 0.751 0.750 0.000
Pb 0.249 0.250 0.000
I 0.000 0.500 0.500
I 0.500 0.000 0.500

Summary:
Space group: No. 2

***

What did we get for ρ? Answer: 7.78; 6.30; 6.23; 5.03; 7.80; 4.71; 7.37; 6.95 g/cm3, in the order shown.
What did we get for ΔE_f (raw)? Answer: -755; -835; -798; -180; -530; -210; -649; -357 meV per atom, in the order shown.